# 1
AgSbCl2, optimized geometry, DFT PBE; space-group type = No. 44; relative energy among the computed polymorphs = 17 meV per atom; V = 29.2 A^3/atom; uncorrected formation energy = -361 meV per atom
1.0
-1.9672 -1.1757 6.6906
1.4037 -5.6917 3.9560
2.1660 5.4894 -3.8976
Sb Ag Cl
1 1 2
Direct
0.3821 0.3821 0.0000
0.2173 0.7173 0.5000
0.0782 0.0782 0.0000
0.8224 0.3224 0.5000

---

# 2
AgSb4Cl, optimized geometry, DFT PBE; space-group type = No. 216; V = 29.4 A^3/atom; uncorrected formation energy = 224 meV per atom
1.0
2.5339 -5.6949 -0.8977
-3.5380 -4.7028 -2.2414
0.9443 -2.1401 -5.8469
Ag Sb Cl
1 4 1
Direct
0.7500 0.7500 0.7500
0.9032 0.3656 0.3656
0.3656 0.3656 0.9032
0.3656 0.9032 0.3656
0.3656 0.3656 0.3656
0.0000 0.0000 0.0000

---

# 3
AgSbCl2, optimized geometry, DFT PBE; space-group type = No. 216; relative energy among the computed polymorphs = 489 meV per atom; V = 22.1 A^3/atom; uncorrected formation energy = 110 meV per atom
1.0
-1.3360 3.1459 3.6491
-4.8210 1.1371 0.6798
-2.4315 -1.7185 4.0165
Sb Ag Cl
1 1 2
Direct
0.7500 0.7500 0.7500
0.5000 0.5000 0.5000
0.0000 0.0000 0.0000
0.2500 0.2500 0.2500

---

# 4
AgSbCl2, optimized geometry, DFT PBE; space-group type = No. 139; relative energy among the computed polymorphs = 445 meV per atom; V = 22.6 A^3/atom; uncorrected formation energy = 66 meV per atom
1.0
-3.0298 -0.3273 -4.4078
1.7583 -4.3499 -2.5888
-1.5173 0.5065 5.1144
Sb Ag Cl
1 1 2
Direct
0.2500 0.7500 0.5000
0.7500 0.2500 0.5000
0.0000 0.0000 0.0000
0.5000 0.5000 0.0000